Entry from the Alexandria database: crystalline Ba3YIr2O9 at its relaxed geometry (GGA-PBE).

Summary:
E_form (uncorrected) (meV/atom): -2105
Magnetic moment (μB per cell): 0.000
Volume (A^3/atom): 15.1
Crystal system: hexagonal

Cell lengths 5.956, 5.956, 14.721 Å; angles 90.00, 90.00, 120.00 degrees
Sites, in units of the cell vectors:
Ba1 0.000 0.000 0.250
Ba2 0.000 0.000 0.750
Ba3 0.333 0.667 0.092
Ba4 0.333 0.667 0.408
Ba5 0.667 0.333 0.592
Ba6 0.667 0.333 0.908
Y1 0.000 0.000 0.000
Y2 0.000 0.000 0.500
Ir1 0.333 0.667 0.664
Ir2 0.333 0.667 0.836
Ir3 0.667 0.333 0.164
Ir4 0.667 0.333 0.336
O1 0.018 0.509 0.750
O2 0.176 0.353 0.587
O3 0.176 0.353 0.913
O4 0.176 0.824 0.587
O5 0.176 0.824 0.913
O6 0.353 0.176 0.087
O7 0.353 0.176 0.413
O8 0.491 0.509 0.750
O9 0.491 0.982 0.750
O10 0.509 0.018 0.250
O11 0.509 0.491 0.250
O12 0.647 0.824 0.587
O13 0.647 0.824 0.913
O14 0.824 0.176 0.087
O15 0.824 0.176 0.413
O16 0.824 0.647 0.087
O17 0.824 0.647 0.413
O18 0.982 0.491 0.250